*one*
{"formula": "HoTm3Os", "functional": "PBE", "state": "optimized geometry", "magmom_total_mub_per_atom": 0.000, "lattice_angstrom": [[-3.8384, -0.9745, 3.5940], [3.3525, -3.1510, 2.7261], [1.6209, 4.2097, 2.8725]], "species": ["Tm", "Ho", "Tm", "Os", "Tm"], "fractional_positions": [[0.5000, 0.0000, 0.0000], [0.5000, 0.5000, 0.5000], [0.0000, 0.5000, 0.0000], [0.0000, 0.0000, 0.0000], [0.0000, 0.0000, 0.5000]]}

*two*
{"formula": "HoTm3Os", "functional": "PBE", "state": "optimized geometry", "magmom_total_mub_per_atom": 0.068, "lattice_angstrom": [[3.3889, 0.0000, -0.9952], [-0.6812, 9.1519, -2.3198], [0.7146, -0.1770, 8.7014]], "species": ["Tm", "Tm", "Tm", "Tm", "Tm", "Ho", "Os", "Tm", "Ho", "Os"], "fractional_positions": [[0.9014, 0.4591, 0.8028], [0.0011, 0.1754, 0.0021], [0.0986, 0.5409, 0.1972], [0.3144, 0.1298, 0.6288], [0.9989, 0.8246, 0.9979], [0.6927, 0.3092, 0.3855], [0.1374, 0.0656, 0.2749], [0.6856, 0.8702, 0.3712], [0.3073, 0.6908, 0.6145], [0.8626, 0.9344, 0.7251]]}

Stability order, top to bottom: *two*, *one*

*one*
{"formula": "YHo2Os", "functional": "PBE", "state": "optimized geometry", "magmom_total_mub_per_atom": 0.000, "lattice_angstrom": [[3.3862, 0.0000, 0.0000], [0.0000, 3.3862, 0.0000], [0.0000, 0.0000, 9.2717]], "species": ["Y", "Ho", "Ho", "Os"], "fractional_positions": [[0.5000, 0.5000, 0.5000], [0.0000, 0.0000, 0.1783], [0.0000, 0.0000, 0.8217], [0.5000, 0.5000, 0.0000]]}

*two*
{"formula": "YHo2Os", "functional": "PBE", "state": "optimized geometry", "magmom_total_mub_per_atom": 0.000, "lattice_angstrom": [[-2.2452, 3.2686, -0.5514], [-3.6667, -4.6373, 1.9690], [1.4669, 2.4363, 8.4694]], "species": ["Y", "Ho", "Y", "Ho", "Os", "Ho", "Ho", "Os"], "fractional_positions": [[0.9268, 0.8536, 0.2500], [0.3545, 0.7091, 0.5653], [0.0732, 0.1464, 0.7500], [0.3545, 0.7091, 0.9347], [0.7427, 0.4853, 0.7500], [0.6455, 0.2909, 0.4347], [0.6455, 0.2909, 0.0653], [0.2573, 0.5147, 0.2500]]}

Stability order, top to bottom: *two*, *one*

*one*
{"formula": "Y2HoOs", "functional": "PBE", "state": "optimized geometry", "magmom_total_mub_per_atom": 0.141, "lattice_angstrom": [[3.4367, 0.0000, 0.0000], [1.7184, 2.9763, 0.0000], [1.7184, 0.9921, 10.8566]], "species": ["Os", "Ho", "Y", "Y"], "fractional_positions": [[0.5000, 0.5000, 0.5000], [0.0000, 0.0000, 0.0000], [0.8953, 0.8953, 0.3141], [0.1047, 0.1047, 0.6859]]}

*two*
{"formula": "Y2HoOs", "functional": "PBE", "state": "optimized geometry", "magmom_total_mub_per_atom": 0.000, "lattice_angstrom": [[-2.1912, -1.0053, 2.4073], [-1.8568, -1.6073, -2.3614], [4.9599, -7.6618, 1.3151]], "species": ["Y", "Ho", "Os", "Y"], "fractional_positions": [[0.0000, 0.0000, 0.1811], [0.5000, 0.5000, 0.5000], [0.5000, 0.5000, 0.0000], [0.0000, 0.0000, 0.8189]]}

Stability order, top to bottom: *two*, *one*

*one*
{"formula": "Y2HoOs", "functional": "PBE", "state": "optimized geometry", "magmom_total_mub_per_atom": 0.000, "lattice_angstrom": [[3.9737, 0.0001, 0.0000], [-1.9864, 5.9447, 0.0000], [0.0000, 0.0000, 9.0529]], "species": ["Os", "Os", "Ho", "Y", "Y", "Y", "Y", "Ho"], "fractional_positions": [[0.2591, 0.5183, 0.2500], [0.7409, 0.4817, 0.7500], [0.0767, 0.1534, 0.7500], [0.6437, 0.2875, 0.0659], [0.6437, 0.2875, 0.4341], [0.3563, 0.7125, 0.5659], [0.3563, 0.7125, 0.9341], [0.9233, 0.8466, 0.2500]]}

*two*
{"formula": "Y2HoOs", "functional": "PBE", "state": "optimized geometry", "magmom_total_mub_per_atom": 0.000, "lattice_angstrom": [[-4.5384, -0.6031, -4.4095], [-0.1608, -7.2931, 1.1631], [-6.3668, 1.1601, 6.3941]], "species": ["Y", "Y", "Ho", "Y", "Y", "Y", "Y", "Ho", "Y", "Ho", "Ho", "Os", "Os", "Os", "Y", "Os"], "fractional_positions": [[0.6695, 0.8256, 0.5630], [0.6695, 0.8256, 0.9370], [0.1313, 0.9587, 0.7500], [0.8305, 0.3256, 0.5630], [0.3305, 0.1744, 0.4370], [0.8305, 0.3256, 0.9370], [0.3305, 0.1744, 0.0630], [0.3687, 0.4587, 0.7500], [0.1695, 0.6744, 0.0630], [0.6313, 0.5413, 0.2500], [0.8687, 0.0413, 0.2500], [0.0337, 0.3829, 0.2500], [0.4663, 0.8829, 0.2500], [0.5337, 0.1171, 0.7500], [0.1695, 0.6744, 0.4370], [0.9663, 0.6171, 0.7500]]}

Stability order, top to bottom: *two*, *one*